1.
The following is a DFT calculation (PBE) of a geometry-optimized Cu2IrAu structure.

Unit cell a=2.6619 b=4.2226 c=5.2390 alpha=90.00 beta=104.54 gamma=90.00
Closest atoms and distances in Å follow each position.
Fractional positions:
Cu  0.0000  0.0000  0.0000  4 Cu 2.51-2.66, 3 Ir 2.68-2.73, 4 Au 2.73
Cu  0.1392  0.5000  0.2670  4 Cu 2.51-2.66, 2 Au 2.61-2.79, 4 Ir 2.68-2.69
Ir  0.7339  0.0000  0.4615  2 Ir 2.66, 7 Cu 2.68-2.73, 4 Au 2.97-2.98
Au  0.3925  0.5000  0.7809  7 Cu 2.61-2.81, 2 Au 2.66

- ΔH_f (0 K) (eV/atom) = 0.181

***

2.
The following is a DFT calculation (PBE) of a geometry-optimized Tl2AsN structure.

Unit cell a=7.0036 b=7.0036 c=7.0036 alpha=130.44 beta=130.44 gamma=72.71
Closest atoms and distances in Å follow each position.
Fractional positions:
Tl  0.0643  0.6250  0.9393  2 N 2.32
Tl  0.3750  0.3143  0.4393  2 N 2.32
Tl  0.6857  0.1250  0.0607  2 N 2.32
Tl  0.8750  0.9357  0.5607  2 N 2.32
As  0.2500  0.7500  0.5000  4 Tl 2.73
As  0.5000  0.5000  0.0000  4 Tl 2.73
N  0.0000  0.0000  0.0000  4 Tl 2.32
N  0.7500  0.2500  0.5000  4 Tl 2.32

- formation energy without anion corrections (meV per atom) = 576

***

3.
The following is a DFT calculation (PBE) of a geometry-optimized Pr2NiP3Rh4 structure.

Unit cell a=4.1495 b=4.1495 c=9.7786 alpha=90.00 beta=90.00 gamma=90.00
Closest atoms and distances in Å follow each position.
Fractional positions:
Pr  0.0000  0.5000  0.2403  2 Ni 3.13, 6 P 3.13-3.17, 8 Rh 3.14-3.28
Pr  0.5000  0.0000  0.7597  2 Ni 3.13, 6 P 3.13-3.17, 8 Rh 3.14-3.28
Ni  0.5000  0.5000  0.0000  4 Rh 2.42
P  0.0000  0.0000  0.0000  4 Rh 2.42
P  0.0000  0.5000  0.6360  5 Rh 2.32-2.46
P  0.5000  0.0000  0.3640  5 Rh 2.32-2.46
Rh  0.0000  0.0000  0.5000  4 P 2.46
Rh  0.0000  0.5000  0.8736  3 P 2.32-2.42, 2 Ni 2.42
Rh  0.5000  0.0000  0.1264  3 P 2.32-2.42, 2 Ni 2.42
Rh  0.5000  0.5000  0.5000  4 P 2.46

- ΔH_f (0 K) (eV/atom) = -0.956

***

4.
The following is a DFT calculation (PBE) of a geometry-optimized Dy2SiN structure.

Unit cell a=7.2679 b=7.2679 c=7.2679 alpha=28.17 beta=28.17 gamma=28.17
Closest atoms and distances in Å follow each position.
Fractional positions:
Dy  0.2318  0.2318  0.2318  3 N 2.46
Dy  0.7682  0.7682  0.7682  3 N 2.46
Si  0.0000  0.0000  0.0000  6 Dy 2.95
N  0.5000  0.5000  0.5000  6 Dy 2.46

- formation energy without anion corrections (meV per atom) = -1060

***

5.
The following is a DFT calculation (PBE) of a geometry-optimized Cr2FeSe3S structure.

Unit cell a=6.4043 b=6.4043 c=6.2332 alpha=116.77 beta=116.77 gamma=32.03
Closest atoms and distances in Å follow each position.
Fractional positions:
Cr  0.0000  0.0000  0.0000  5 Se 2.47-2.57, 1 S 2.48
Cr  0.5195  0.5195  0.5460  4 Se 2.47-2.57, 2 S 2.51, 1 Fe 2.61
Fe  0.2809  0.2809  0.2748  2 S 2.28, 4 Se 2.43-2.54
Se  0.1497  0.1497  0.8315  1 Fe 2.46, 3 Cr 2.49-2.51
Se  0.3741  0.3741  0.7157  1 Fe 2.43, 3 Cr 2.47
Se  0.6399  0.6399  0.3021  2 Fe 2.54, 3 Cr 2.57
S  0.8916  0.8916  0.2489  2 Fe 2.28, 3 Cr 2.48-2.51

- formation energy without anion corrections (meV per atom) = -413

***

6.
The following is a DFT calculation (PBE) of a geometry-optimized Ca2CeHo structure.

Unit cell a=13.2601 b=13.2601 c=13.2601 alpha=15.30 beta=15.30 gamma=15.30
Closest atoms and distances in Å follow each position.
Fractional positions:
Ca  0.0870  0.0870  0.0870  1 Ho 3.42, 6 Ca 3.53, 3 Ce 3.74
Ca  0.9130  0.9130  0.9130  1 Ho 3.42, 6 Ca 3.53, 3 Ce 3.74
Ce  0.5000  0.5000  0.5000  6 Ce 3.53, 6 Ca 3.74
Ho  0.0000  0.0000  0.0000  2 Ca 3.42, 6 Ho 3.53

- ΔH_f (0 K) (eV/atom) = 0.319

***

7.
The following is a DFT calculation (PBE) of a geometry-optimized CsHRuBr6 structure.

Unit cell a=6.6144 b=7.1343 c=7.3353 alpha=88.70 beta=88.90 gamma=64.45
Closest atoms and distances in Å follow each position.
Fractional positions:
Cs  0.0000  0.0000  0.0000  9 Br 3.77-4.06
H  0.6664  0.3583  0.5244  1 Br 1.62
Ru  0.1847  0.3426  0.5230  6 Br 2.47-2.55
Br  0.3911  0.1770  0.2377  1 Ru 2.50
Br  0.4185  0.5460  0.5471  1 H 1.62
Br  0.4623  0.0508  0.7079  1 Ru 2.49
Br  0.9057  0.6333  0.3427  1 Ru 2.47
Br  0.9479  0.1441  0.4995  1 H 1.84
Br  0.9800  0.5063  0.8111  1 Ru 2.51

***

8.
The following is a DFT calculation (PBE) of a geometry-optimized Ce2Sn2Hg structure.

Unit cell a=8.1483 b=8.1483 c=4.3098 alpha=90.00 beta=90.00 gamma=90.00
Closest atoms and distances in Å follow each position.
Fractional positions:
Ce  0.1202  0.3798  0.0000  1 Ce 2.77
Ce  0.3798  0.8798  0.0000  1 Ce 2.77
Ce  0.6202  0.1202  0.0000  1 Ce 2.77
Ce  0.8798  0.6202  0.0000  1 Ce 2.77
Sn  0.1788  0.6788  0.5000  6 Ce 3.16-3.29
Sn  0.3212  0.1788  0.5000  6 Ce 3.16-3.29
Sn  0.6788  0.8212  0.5000  6 Ce 3.16-3.29
Sn  0.8212  0.3212  0.5000  6 Ce 3.16-3.29
Hg  0.0000  0.0000  0.0000  4 Ce 3.25
Hg  0.5000  0.5000  0.0000  4 Ce 3.25

- ΔH_f (0 K) (eV/atom) = -0.397

***

9.
The following is a DFT calculation (PBE) of a geometry-optimized Li2SbW structure.

Unit cell a=2.9067 b=4.6474 c=5.3565 alpha=90.00 beta=104.92 gamma=90.00
Closest atoms and distances in Å follow each position.
Fractional positions:
Li  0.1780  0.0000  0.2288  1 Li 2.40
Li  0.8220  0.0000  0.7712  1 Li 2.40
Sb  0.0000  0.5000  0.5000  2 W 2.70, 4 Li 2.86, 2 Sb 2.91
W  0.5000  0.5000  0.0000  2 Sb 2.70, 4 Li 2.89, 2 W 2.91

- formation energy without anion corrections (meV per atom) = 327

***

10.
The following is a DFT calculation (PBE) of a geometry-optimized Cr2Pb structure.

Unit cell a=5.7348 b=5.7348 c=7.0145 alpha=113.45 beta=113.45 gamma=30.70
Closest atoms and distances in Å follow each position.
Fractional positions:
Cr  0.0487  0.0487  0.2673  4 Cr 2.51-2.53
Cr  0.4001  0.4001  0.9756  1 Cr 2.09
Cr  0.5999  0.5999  0.0244  1 Cr 2.09
Cr  0.9513  0.9513  0.7327  4 Cr 2.51-2.53
Pb  0.3294  0.3294  0.3315  8 Cr 2.91-3.05, 2 Pb 3.04
Pb  0.6706  0.6706  0.6685  8 Cr 2.91-3.05, 2 Pb 3.04

- ΔH_f (0 K) (eV/atom) = 0.603

***

11.
The following is a DFT calculation (PBE) of a geometry-optimized HfAg2Pb3Se6 structure.

Unit cell a=7.3147 b=7.3147 c=7.2002 alpha=98.51 beta=98.51 gamma=120.64
Closest atoms and distances in Å follow each position.
Fractional positions:
Hf  0.0000  0.0000  0.0000  6 Se 2.71-2.72
Ag  0.3216  0.6784  0.0000  4 Se 2.80-2.89
Ag  0.6784  0.3216  0.0000  4 Se 2.80-2.89
Pb  0.1649  0.8351  0.5000  4 Se 2.96-3.07
Pb  0.5000  0.5000  0.5000  6 Se 3.06-3.11
Pb  0.8351  0.1649  0.5000  4 Se 2.96-3.07
Se  0.0837  0.3873  0.2109  1 Hf 2.72, 2 Ag 2.80-2.89
Se  0.2264  0.2264  0.7603  1 Hf 2.71, 2 Pb 2.96
Se  0.3873  0.0837  0.2109  1 Hf 2.72, 2 Ag 2.80-2.89
Se  0.6127  0.9163  0.7891  1 Hf 2.72, 2 Ag 2.80-2.89
Se  0.7736  0.7736  0.2397  1 Hf 2.71, 2 Pb 2.96
Se  0.9163  0.6127  0.7891  1 Hf 2.72, 2 Ag 2.80-2.89

- formation energy without anion corrections (meV per atom) = -571

***

12.
The following is a DFT calculation (PBE) of a geometry-optimized CeSm3Ga3 structure.

Unit cell a=9.3430 b=9.3430 c=4.8860 alpha=90.00 beta=90.00 gamma=120.00
Closest atoms and distances in Å follow each position.
Fractional positions:
Ce  0.3333  0.6667  0.2500  9 Ga 3.28-3.37, 3 Sm 3.66
Ce  0.6667  0.3333  0.7500  9 Ga 3.28-3.37, 3 Sm 3.66
Sm  0.0147  0.7578  0.7500  4 Ga 2.99-3.09
Sm  0.2422  0.2570  0.7500  4 Ga 2.99-3.09
Sm  0.2570  0.0147  0.2500  4 Ga 2.99-3.09
Sm  0.7430  0.9853  0.7500  4 Ga 2.99-3.09
Sm  0.7578  0.7430  0.2500  4 Ga 2.99-3.09
Sm  0.9853  0.2422  0.2500  4 Ga 2.99-3.09
Ga  0.0617  0.4530  0.7500  4 Sm 2.99-3.09, 2 Ga 3.01, 1 Ce 3.28
Ga  0.3914  0.9383  0.7500  4 Sm 2.99-3.09, 2 Ga 3.01, 1 Ce 3.28
Ga  0.4530  0.3914  0.2500  4 Sm 2.99-3.09, 2 Ga 3.01, 1 Ce 3.28
Ga  0.5470  0.6086  0.7500  4 Sm 2.99-3.09, 2 Ga 3.01, 1 Ce 3.28
Ga  0.6086  0.0617  0.2500  4 Sm 2.99-3.09, 2 Ga 3.01, 1 Ce 3.28
Ga  0.9383  0.5470  0.2500  4 Sm 2.99-3.09, 2 Ga 3.01, 1 Ce 3.28

- ΔH_f (0 K) (eV/atom) = -0.362

***

Total energy readings, ordered: -4.90, -3.85, -7.05, -6.80, -6.45, -3.31, -3.18, -4.43, -4.90, -7.05, -4.55, -4.53 eV per atom